No. 1
18
Lattice="0.0000 5.2875 5.2875 5.2875 0.0000 5.2875 5.2875 5.2875 0.0000" Properties=species:S:1:pos:R:3 comment="PmGa2Ni6, relaxed, DFT PBE" vol_a3_per_cell=295.66 dos_ef_per_ev_fu=2.42 magmom_total_mub_per_cell=0.0 mass_density_kg_m3=7151 e_form_ev_per_fu=1.63 pbc="T T T"
Pm 1.3219 1.3219 1.3219
Pm 9.2532 9.2532 9.2532
Ga 5.2875 2.6438 2.6438
Ga 2.6438 5.2875 2.6438
Ga 2.6438 2.6438 5.2875
Ga 5.2875 5.2875 5.2875
Ni 3.9657 3.9657 1.2879
Ni 3.9657 1.2879 3.9657
Ni 6.6434 3.9657 3.9657
Ni 6.6094 6.6094 3.9317
Ni 6.6094 3.9317 6.6094
Ni 9.2872 6.6094 6.6094
Ni 1.2879 3.9657 3.9657
Ni 3.9657 6.6434 3.9657
Ni 3.9657 3.9657 6.6434
Ni 3.9317 6.6094 6.6094
Ni 6.6094 9.2872 6.6094
Ni 6.6094 6.6094 9.2872



No. 2
11
Lattice="5.4120 -4.2473 0.0000 5.4120 4.2473 0.0000 -1.3971 0.0000 5.1059" Properties=species:S:1:pos:R:3 comment="NbTe2O8, relaxed, DFT PBE" raw_formation_energy_ev_per_atom=-1.01 vol_a3_per_cell=234.74 dos_ef_per_ev_fu=2.42 magmom_total_mub_per_cell=0.9 mass_density_kg_m3=3368 pbc="T T T"
Nb 0.0000 0.0000 0.0000
Te 1.2352 0.0000 3.6129
Te 8.1918 0.0000 1.4930
O 4.0385 2.9363 0.8010
O 1.0710 0.0000 1.7171
O 5.3885 2.9363 4.3050
O 2.9839 0.0000 4.0603
O 6.4431 0.0000 1.0456
O 4.0385 -2.9363 0.8010
O 8.3560 0.0000 3.3888
O 5.3885 -2.9363 4.3050



No. 3
18
Lattice="1.7186 -8.5268 0.0000 1.7186 8.5268 0.0000 0.0000 0.0000 13.7022" Properties=species:S:1:pos:R:3 comment="LiMg2CdHg5, relaxed, DFT PBE" vol_a3_per_cell=401.60 dos_ef_per_ev_fu=2.70 magmom_total_mub_per_cell=0.0 mass_density_kg_m3=9683 e_form_ev_per_fu=-1.32 pbc="T T T"
Li 1.7186 6.6159 6.8511
Li 1.7186 -6.6159 0.0000
Mg 1.7186 2.2333 9.2316
Mg 1.7186 1.9976 4.7379
Mg 1.7186 -1.9976 11.5890
Mg 1.7186 -2.2333 2.3805
Cd 1.7186 4.5434 0.1383
Cd 1.7186 -4.5434 6.9894
Hg 1.7186 7.9817 4.3417
Hg 1.7186 7.5090 0.1174
Hg 1.7186 5.1914 9.3170
Hg 1.7186 4.9648 4.6110
Hg 1.7186 0.7423 1.9973
Hg 1.7186 -0.7423 8.8485
Hg 1.7186 -4.9648 11.4621
Hg 1.7186 -5.1914 2.4659
Hg 1.7186 -7.5090 6.9685
Hg 1.7186 -7.9817 11.1928



No. 4
3
Lattice="0.0000 2.9966 2.9966 2.9966 0.0000 2.9966 2.9966 2.9966 0.0000" Properties=species:S:1:pos:R:3 comment="InGaNi, relaxed, DFT PBE" vol_a3_per_cell=53.81 dos_ef_per_ev_fu=2.67 magmom_total_mub_per_cell=0.0 mass_density_kg_m3=7505 e_form_ev_per_fu=-0.49 pbc="T T T"
In 0.0000 0.0000 0.0000
Ga 2.9966 2.9966 2.9966
Ni 4.4948 4.4948 4.4948



No. 5
12
Lattice="3.0842 -5.3470 0.0000 3.0842 5.3470 0.0000 -2.0681 0.0000 11.6301" Properties=species:S:1:pos:R:3 comment="Tb6Nd3Sm2In, relaxed, DFT PBE" vol_a3_per_cell=383.59 dos_ef_per_ev_fu=16.30 magmom_total_mub_per_cell=0.0 mass_density_kg_m3=7800 e_form_ev_per_fu=-0.59 pbc="T T T"
Tb 1.0016 1.7465 2.8478
Tb -0.0472 0.0000 8.7677
Tb 1.0016 -1.7465 2.8478
Tb 3.0986 1.7465 8.7824
Tb 4.1474 0.0000 2.8624
Tb 3.0986 -1.7465 8.7824
Nd 2.0501 3.5523 5.8151
Nd 2.0501 0.0000 5.8151
Nd 2.0501 -3.5523 5.8151
Sm 3.0842 1.7779 0.0000
Sm 3.0842 -1.7779 0.0000
In 0.0000 0.0000 0.0000



No. 6
4
Lattice="2.8919 0.0000 0.0000 0.0000 3.8456 0.0000 -0.0097 0.0000 5.8881" Properties=species:S:1:pos:R:3 comment="ZnAg2Pt, relaxed, DFT PBE" vol_a3_per_cell=65.48 dos_ef_per_ev_fu=0.78 magmom_total_mub_per_cell=0.0 mass_density_kg_m3=12076 e_form_ev_per_fu=-0.66 pbc="T T T"
Zn 0.0000 0.0000 0.0000
Ag 1.4357 1.9228 4.2808
Ag 2.8826 0.0000 2.7785
Pt 1.4426 1.9228 1.1803